Record 1
Entry from Alexandria via LeMat-Bulk: LiCd3Os at its PBEsol-relaxed geometry (meta-GGA SCAN).

```
LiCd3Os
1.0
4.421 0.000 0.000
0.000 4.421 0.000
0.000 0.000 4.421
Li Cd Os
1 3 1
direct
0.000 0.000 0.000
0.000 0.000 0.500
0.000 0.500 0.000
0.500 0.000 0.000
0.500 0.500 0.500
```

Values from the calculation:
formation energy from the elements	1.0798	eV per atom
crystal system	cubic
ρ	10.27	g/cm³
N(E_F)	2.4	states/eV/f.u.


Record 2
Entry from Alexandria via LeMat-Bulk: LiCd2Os at its PBEsol-relaxed geometry (meta-GGA SCAN).

```
LiCd2Os
1.0
2.699 0.000 0.000
0.000 4.368 0.000
0.000 0.000 5.622
Li Cd Os
1 2 1
direct
0.000 0.000 0.000
0.000 0.000 0.460
0.500 0.500 0.749
0.500 0.500 0.234
```

Values from the calculation:
formation energy from the elements	0.2908	eV per atom
crystal system	orthorhombic
ρ	10.57	g/cm³
N(E_F)	1.8	states/eV/f.u.


Record 3
Entry from Alexandria via LeMat-Bulk: LiCd2Os at its PBEsol-relaxed geometry (meta-GGA SCAN).

```
LiCd2Os
1.0
1.468 -2.338 0.000
1.468 2.338 0.000
0.000 0.000 9.688
Li Cd Os
1 2 1
direct
0.000 0.000 0.000
0.000 0.000 0.466
0.500 0.500 0.748
0.500 0.500 0.217
```

Values from the calculation:
formation energy from the elements	0.2786	eV per atom
crystal system	orthorhombic
ρ	10.54	g/cm³
N(E_F)	2.0	states/eV/f.u.


Record 4
Entry from Alexandria via LeMat-Bulk: LiCd2Os at its PBEsol-relaxed geometry (meta-GGA SCAN).

```
LiCd2Os
1.0
2.814 0.000 0.000
0.000 2.814 0.000
0.000 0.000 8.423
Li Cd Os
1 2 1
direct
0.000 0.000 0.000
0.500 0.500 0.252
0.500 0.500 0.748
0.000 0.000 0.500
```

Values from the calculation:
formation energy from the elements	0.3031	eV per atom
crystal system	tetragonal
ρ	10.51	g/cm³
N(E_F)	2.5	states/eV/f.u.


Record 5
Entry from Alexandria via LeMat-Bulk: LiCdP at its PBEsol-relaxed geometry (meta-GGA SCAN).

```
LiCdP
1.0
0.000 2.054 6.093
2.013 0.000 6.093
2.013 2.054 0.000
Li Cd P
1 1 1
direct
0.000 0.000 0.000
0.682 0.682 0.318
0.364 0.364 0.636
```

Values from the calculation:
formation energy from the elements	-0.0597	eV per atom
crystal system	orthorhombic
ρ	4.96	g/cm³
N(E_F)	1.0	states/eV/f.u.


Record 6
Entry from Alexandria via LeMat-Bulk: LiCd2P at its PBEsol-relaxed geometry (meta-GGA SCAN).

```
LiCd2P
1.0
-4.306 4.306 2.403
4.306 -4.306 2.403
4.306 4.306 -2.403
Li Cd P
2 4 2
direct
0.000 0.000 0.000
0.750 0.250 0.500
0.220 0.625 0.095
0.375 0.470 0.595
0.530 0.125 0.905
0.875 0.780 0.405
0.250 0.750 0.500
0.500 0.500 0.000
```

Values from the calculation:
formation energy from the elements	-0.1179	eV per atom
crystal system	tetragonal
ρ	4.90	g/cm³
N(E_F)	1.6	states/eV/f.u.


Record 7
Entry from Alexandria via LeMat-Bulk: LiCd2P at its PBEsol-relaxed geometry (meta-GGA SCAN).

```
LiCd2P
1.0
-2.049 2.049 4.266
2.049 -2.049 4.266
2.049 2.049 -4.266
Li Cd P
1 2 1
direct
0.000 0.000 0.000
0.250 0.750 0.500
0.750 0.250 0.500
0.500 0.500 0.000
```

Values from the calculation:
formation energy from the elements	-0.0950	eV per atom
crystal system	tetragonal
ρ	6.09	g/cm³
N(E_F)	0.8	states/eV/f.u.


Record 8
Entry from Alexandria via LeMat-Bulk: LiCdP2 at its PBEsol-relaxed geometry (meta-GGA SCAN).

```
LiCdP2
1.0
4.091 0.000 0.000
0.000 4.091 0.000
0.000 0.000 3.888
Li Cd P
1 1 2
direct
0.000 0.000 0.000
0.500 0.500 0.000
0.000 0.500 0.500
0.500 0.000 0.500
```

Values from the calculation:
formation energy from the elements	0.0725	eV per atom
crystal system	tetragonal
ρ	4.63	g/cm³
N(E_F)	1.5	states/eV/f.u.


Record 9
Entry from Alexandria via LeMat-Bulk: Li3CdP at its PBEsol-relaxed geometry (meta-GGA SCAN).

```
Li3CdP
1.0
4.704 0.000 0.000
0.000 4.704 0.000
0.000 0.000 4.704
Li Cd P
3 1 1
direct
0.000 0.000 0.500
0.000 0.500 0.000
0.500 0.000 0.000
0.500 0.500 0.500
0.000 0.000 0.000
```

Values from the calculation:
formation energy from the elements	-0.3872	eV per atom
crystal system	cubic
ρ	2.62	g/cm³
N(E_F)	0.2	states/eV/f.u.


Record 10
Entry from Alexandria via LeMat-Bulk: LiCdP2 at its PBEsol-relaxed geometry (meta-GGA SCAN).

```
LiCdP2
1.0
4.168 -1.631 0.000
4.168 1.631 0.000
-1.667 0.000 5.033
Li Cd P
1 1 2
direct
0.000 0.000 0.000
0.500 0.500 0.500
0.245 0.245 0.840
0.755 0.755 0.160
```

Values from the calculation:
formation energy from the elements	-0.1331	eV per atom
crystal system	monoclinic
ρ	4.40	g/cm³
N(E_F)	0.8	states/eV/f.u.


Record 11
Entry from Alexandria via LeMat-Bulk: LiCdP2 at its PBEsol-relaxed geometry (meta-GGA SCAN).

```
LiCdP2
1.0
4.114 0.000 0.000
0.000 3.700 0.000
-1.074 0.000 4.313
Li Cd P
1 1 2
direct
0.000 0.000 0.000
0.000 0.500 0.500
0.500 0.000 0.500
0.500 0.500 0.000
```

Values from the calculation:
formation energy from the elements	0.0661	eV per atom
crystal system	monoclinic
ρ	4.59	g/cm³
N(E_F)	1.0	states/eV/f.u.


Record 12
Entry from Alexandria via LeMat-Bulk: Li2Cd2P at its PBEsol-relaxed geometry (meta-GGA SCAN).

```
Li2Cd2P
1.0
-1.817 1.817 7.039
1.817 -1.817 7.039
1.817 1.817 -7.039
Li Cd P
2 2 1
direct
0.250 0.750 0.500
0.750 0.250 0.500
0.101 0.101 0.000
0.899 0.899 0.000
0.500 0.500 0.000
```

Values from the calculation:
formation energy from the elements	0.0804	eV per atom
crystal system	tetragonal
ρ	4.82	g/cm³
N(E_F)	2.0	states/eV/f.u.